A) Density functional theory data (PBE-GGA) for a geometry-optimized ScCdB structure.

The calculation puts the volume at 16.25 A^3/atom.

The space group is P-3m1 (No. 164) and the conventional cell measures 3.1819, 3.1819 and 11.1227 Å, with angles of 90.00, 90.00 and 120.00 degrees. The asymmetric unit holds Sc at (0.0000, 0.0000, 0.1532), Cd at (0.3333, 0.6667, 0.6155) and B at (0.3333, 0.6667, 0.0006).

---

B) Density functional theory data (PBE-GGA) for a geometry-optimized ScCdB structure.

The calculation puts the volume at 17.38 A^3/atom.

The space group is P1 (No. 1) and the conventional cell measures 3.3990, 5.2621 and 6.0704 Å, with angles of 89.83, 73.80 and 90.00 degrees. The asymmetric unit holds Sc at (0.0000, 0.0000, 0.0000), Sc at (0.1749, 0.5013, 0.6483), Cd at (0.2850, 0.0018, 0.4312), Cd at (0.4501, 0.4998, 0.1004), B at (0.6297, 0.1594, 0.7405) and B at (0.6299, 0.8430, 0.7401).

---

Relative energies, unit kJ/mol of atoms: A) 0.0; B) 41.8

---

A) Density functional theory data (PBE-GGA) for a geometry-optimized SbRhBr2 structure.

The calculation puts the volume at 29.07 A^3/atom.

The space group is Cm (No. 8) and the conventional cell measures 6.8260, 3.9408 and 8.6468 Å, with angles of 90.00, 90.38 and 90.00 degrees. The asymmetric unit holds Sb at (0.0000, 0.0000, 0.0000), Rh at (0.1655, 0.5000, 0.8647), Br at (0.0035, 0.0000, 0.2902) and Br at (0.3308, 0.0000, 0.6900).

---

B) Density functional theory data (PBE-GGA) for a geometry-optimized SbRhBr2 structure.

The calculation puts the volume at 31.62 A^3/atom.

The space group is I-42d (No. 122) and the conventional cell measures 10.0222, 10.0222 and 5.0363 Å, with angles of 90.00, 90.00 and 90.00 degrees. The asymmetric unit holds Sb at (0.0000, 0.0000, 0.0000), Rh at (0.0000, 0.0000, 0.5000) and Br at (0.0640, 0.7500, 0.6250).

---

Relative energies, unit kJ/mol of atoms: A) 0.0; B) 45.9

---

A) Density functional theory data (PBE-GGA) for a geometry-optimized Y2ReAu structure.

The calculation puts the volume at 23.16 A^3/atom.

The space group is C2/m (No. 12) and the conventional cell measures 6.0845, 3.4788 and 8.9743 Å, with angles of 90.00, 102.70 and 90.00 degrees. The asymmetric unit holds Y at (0.2451, 0.0000, 0.2345), Re at (0.0000, 0.5000, 0.0000) and Au at (0.0000, 0.0000, 0.5000).

---

B) Density functional theory data (PBE-GGA) for a geometry-optimized Y2ReAu structure.

The calculation puts the volume at 24.30 A^3/atom.

The space group is P4mm (No. 99) and the conventional cell measures 3.5556, 3.5556 and 7.6899 Å, with angles of 90.00, 90.00 and 90.00 degrees. The asymmetric unit holds Y at (0.0000, 0.0000, 0.0000), Y at (0.5000, 0.5000, 0.3948), Re at (0.5000, 0.5000, 0.7703) and Au at (0.0000, 0.0000, 0.6118).

---

Relative energies, unit kJ/mol of atoms: A) 0.0; B) 12.3

---

A) Density functional theory data (PBE-GGA) for a geometry-optimized CoSe2Br structure.

The calculation puts the volume at 21.00 A^3/atom.

The space group is C2 (No. 5) and the conventional cell measures 6.0187, 11.0907 and 5.0349 Å, with angles of 90.00, 90.82 and 90.00 degrees. The asymmetric unit holds Co at (0.0000, 0.0000, 0.0000), Co at (0.0000, 0.3109, 0.0000), Se at (0.1254, 0.1531, 0.7157), Se at (0.1270, 0.4960, 0.8110) and Br at (0.1624, 0.8306, 0.7431).

---

B) Density functional theory data (PBE-GGA) for a geometry-optimized CoSe2Br structure.

The calculation puts the volume at 22.02 A^3/atom.

The space group is Cmcm (No. 63) and the conventional cell measures 3.4499, 25.0587 and 4.0747 Å, with angles of 90.00, 90.00 and 90.00 degrees. The asymmetric unit holds Co at (0.0000, 0.1908, 0.2500), Se at (0.0000, 0.2877, 0.2500), Se at (0.0000, 0.3697, 0.7500) and Br at (0.0000, 0.4465, 0.2500).

---

Relative energies, unit kJ/mol of atoms: A) 0.0; B) 24.5

---

A) Density functional theory data (PBE-GGA) for a geometry-optimized Ba2PtCl structure.

The calculation puts the volume at 30.49 A^3/atom.

The space group is Fm-3m (No. 225) and the conventional cell measures 7.8719, 7.8719 and 7.8719 Å, with angles of 90.00, 90.00 and 90.00 degrees. The asymmetric unit holds Ba at (0.2500, 0.2500, 0.2500), Pt at (0.0000, 0.0000, 0.0000) and Cl at (0.0000, 0.0000, 0.5000).

---

B) Density functional theory data (PBE-GGA) for a geometry-optimized Ba2PtCl structure.

The calculation puts the volume at 29.23 A^3/atom.

The space group is F-43m (No. 216) and the conventional cell measures 7.7623, 7.7623 and 7.7623 Å, with angles of 90.00, 90.00 and 90.00 degrees. The asymmetric unit holds Ba at (0.0000, 0.0000, 0.0000), Ba at (0.2500, 0.2500, 0.2500), Pt at (0.2500, 0.2500, 0.7500) and Cl at (0.0000, 0.0000, 0.5000).

---

Relative energies, unit kJ/mol of atoms: A) 0.0; B) 60.7

---

A) Density functional theory data (PBE-GGA) for a geometry-optimized Mg2ScTc structure.

The calculation puts the volume at 18.60 A^3/atom.

The space group is Cmmm (No. 65) and the conventional cell measures 5.5931, 9.0864 and 2.9281 Å, with angles of 90.00, 90.00 and 90.00 degrees. The asymmetric unit holds Mg at (0.2500, 0.2500, 0.0000), Sc at (0.0000, 0.0000, 0.5000) and Tc at (0.0000, 0.5000, 0.5000).

---

B) Density functional theory data (PBE-GGA) for a geometry-optimized Mg2ScTc structure.

The calculation puts the volume at 18.70 A^3/atom.

The space group is C2/m (No. 12) and the conventional cell measures 5.4875, 9.8694 and 2.9205 Å, with angles of 90.00, 108.98 and 90.00 degrees. The asymmetric unit holds Mg at (0.2500, 0.2500, 0.0000), Sc at (0.0000, 0.0000, 0.5000) and Tc at (0.0000, 0.5000, 0.5000).

---

Relative energies, unit kJ/mol of atoms: A) 1.5; B) 0.0